# LuCuHgAs

An optimized crystal structure of LuCuHgAs (PBE, the Open Quantum Materials Database).

Properties
* size of the total moment: 0.0 μB per cell
* offset from the most stable computed form: 147 meV per atom

Geometry as POSCAR:
```
LuCuHgAs
1.0
6.866 0.000 0.000
0.000 6.866 0.000
0.000 0.000 6.866
Lu Cu Hg As
4 4 4 4
direct
0.000 0.000 0.000
0.000 0.500 0.500
0.500 0.000 0.500
0.500 0.500 0.000
0.250 0.250 0.750
0.250 0.750 0.250
0.750 0.250 0.250
0.750 0.750 0.750
0.250 0.250 0.250
0.250 0.750 0.750
0.750 0.250 0.750
0.750 0.750 0.250
0.000 0.000 0.500
0.000 0.500 0.000
0.500 0.000 0.000
0.500 0.500 0.500
```

---

# NbCuHgAs

An optimized crystal structure of NbCuHgAs (PBE, the Open Quantum Materials Database).

Properties
* size of the total moment: 6.9 μB per cell
* offset from the most stable computed form: 336 meV per atom

Geometry as POSCAR:
```
NbCuHgAs
1.0
6.668 0.000 0.000
0.000 6.668 0.000
0.000 0.000 6.668
Nb Cu Hg As
4 4 4 4
direct
0.000 0.000 0.000
0.000 0.500 0.500
0.500 0.000 0.500
0.500 0.500 0.000
0.250 0.250 0.750
0.250 0.750 0.250
0.750 0.250 0.250
0.750 0.750 0.750
0.250 0.250 0.250
0.250 0.750 0.750
0.750 0.250 0.750
0.750 0.750 0.250
0.000 0.000 0.500
0.000 0.500 0.000
0.500 0.000 0.000
0.500 0.500 0.500
```

---

# NbCuHgAs

An optimized crystal structure of NbCuHgAs (PBE, the Open Quantum Materials Database).

Properties
* size of the total moment: 0.1 μB per cell
* offset from the most stable computed form: 0 meV per atom

Geometry as POSCAR:
```
NbCuHgAs
1.0
6.524 0.000 0.000
0.000 6.524 0.000
0.000 0.000 6.524
Nb Cu Hg As
4 4 4 4
direct
0.000 0.000 0.000
0.000 0.500 0.500
0.500 0.000 0.500
0.500 0.500 0.000
0.000 0.000 0.500
0.000 0.500 0.000
0.500 0.000 0.000
0.500 0.500 0.500
0.250 0.250 0.750
0.250 0.750 0.250
0.750 0.250 0.250
0.750 0.750 0.750
0.250 0.250 0.250
0.250 0.750 0.750
0.750 0.250 0.750
0.750 0.750 0.250
```

---

# CuNiHgAs

An optimized crystal structure of CuNiHgAs (PBE, the Open Quantum Materials Database).

Properties
* size of the total moment: 0.0 μB per cell
* offset from the most stable computed form: 0 meV per atom

Geometry as POSCAR:
```
CuNiHgAs
1.0
6.296 0.000 0.000
0.000 6.296 0.000
0.000 0.000 6.296
Cu Ni Hg As
4 4 4 4
direct
0.000 0.000 0.000
0.000 0.500 0.500
0.500 0.000 0.500
0.500 0.500 0.000
0.000 0.000 0.500
0.000 0.500 0.000
0.500 0.000 0.000
0.500 0.500 0.500
0.250 0.250 0.250
0.250 0.750 0.750
0.750 0.250 0.750
0.750 0.750 0.250
0.250 0.250 0.750
0.250 0.750 0.250
0.750 0.250 0.250
0.750 0.750 0.750
```

---

# CuHgAsPd

An optimized crystal structure of CuHgAsPd (PBE, the Open Quantum Materials Database).

Properties
* offset from the most stable computed form: 0 meV per atom

Geometry as POSCAR:
```
CuHgAsPd
1.0
6.477 0.000 0.000
0.000 6.477 0.000
0.000 0.000 6.477
Cu Hg As Pd
4 4 4 4
direct
0.000 0.000 0.000
0.000 0.500 0.500
0.500 0.000 0.500
0.500 0.500 0.000
0.250 0.250 0.250
0.250 0.750 0.750
0.750 0.250 0.750
0.750 0.750 0.250
0.250 0.250 0.750
0.250 0.750 0.250
0.750 0.250 0.250
0.750 0.750 0.750
0.000 0.000 0.500
0.000 0.500 0.000
0.500 0.000 0.000
0.500 0.500 0.500
```

---

# CuHgAsPt

An optimized crystal structure of CuHgAsPt (PBE, the Open Quantum Materials Database).

Properties
* size of the total moment: 0.0 μB per cell
* offset from the most stable computed form: 0 meV per atom

Geometry as POSCAR:
```
CuHgAsPt
1.0
6.497 0.000 0.000
0.000 6.497 0.000
0.000 0.000 6.497
Cu Hg As Pt
4 4 4 4
direct
0.000 0.000 0.000
0.000 0.500 0.500
0.500 0.000 0.500
0.500 0.500 0.000
0.250 0.250 0.250
0.250 0.750 0.750
0.750 0.250 0.750
0.750 0.750 0.250
0.250 0.250 0.750
0.250 0.750 0.250
0.750 0.250 0.250
0.750 0.750 0.750
0.000 0.000 0.500
0.000 0.500 0.000
0.500 0.000 0.000
0.500 0.500 0.500
```